Here is crystalline NpBP2 at its relaxed geometry from Alexandria. Energies are from GGA-PBE.

Output
ΔE to the lowest computed polymorph: 348 meV/atom
formation energy: 0.085 eV per atom

abc: 4.3185 4.3185 18.7476
angles: 90.00 90.00 120.00
Space group R-3m (No. 166, hexagonal axes)
Inequivalent atoms, fractional coordinates:
Np 0.0000 0.0000 0.0000
B 0.0000 0.0000 0.5000
P 0.0000 0.0000 0.4051